1.
5
Lattice="4.5843 0.0000 0.0000 0.0000 4.5843 0.0000 0.0000 0.0000 5.0636" Properties=species:S:1:pos:R:3 comment="BeAsSeBr2 | Alexandria | GGA-PBE | optimized geometry" raw_formation_energy_mev_per_atom=209 n_ef_per_ev_fu=2.21 relative_energy_ev_per_atom=0.000 pbc="T T T"
Se 0.0000 0.0000 2.5318
As 2.2922 2.2922 2.5318
Br 0.0000 2.2922 0.0000
Br 2.2922 0.0000 0.0000
Be 0.0000 0.0000 0.0000

---

2.
3
Lattice="5.4821 0.0154 -0.1074 3.4553 4.2561 0.1074 -4.4248 -2.2277 2.3503" Properties=species:S:1:pos:R:3 comment="CaNiRh | Alexandria | GGA-PBE | optimized geometry" n_ef_per_ev_fu=4.59 dft_energy_ev_per_atom=-5.11 pbc="T T T"
Ca 0.0061 0.0029 0.0000
Ni 2.5804 1.2333 0.0000
Rh 6.3496 3.0348 0.0000

---

3.
12
Lattice="-0.4963 2.3299 -3.4518 -8.4100 -0.8852 0.6116 1.9664 6.4499 6.6187" Properties=species:S:1:pos:R:3 comment="Pm6As2PdSe3 | Alexandria | GGA-PBE | optimized geometry" raw_formation_energy_mev_per_atom=-1569 n_ef_per_ev_fu=6.02 pbc="T T T"
Pm -6.5109 4.2694 3.8178
Pm -2.0601 -0.1915 0.1669
Pm -2.4117 4.6634 3.4944
Pm -4.5282 3.2313 0.2842
Pm -0.4290 3.6252 -0.0392
Pm -4.8797 8.0862 3.6117
As -2.2314 2.2359 1.8300
As -4.7084 5.6587 1.9486
Se -4.4531 0.7224 -1.4201
Se -0.5087 6.0780 1.6278
Se -6.4312 1.8166 2.1508
Pd -0.2481 1.1649 -1.7259

---

4.
15
Lattice="4.4428 0.0000 0.0000 0.0000 13.5969 -7.8502 0.0000 0.0000 15.7004" Properties=species:S:1:pos:R:3 comment="KBa8Sr6 | Alexandria | GGA-PBE | optimized geometry" n_ef_per_ev_fu=23.84 dft_energy_ev_per_atom=-1.63 pbc="T T T"
Sr 1.1641 8.2719 -3.2134
Sr 1.1641 6.6781 2.2932
Sr 1.1641 12.2439 0.9202
Sr 3.2787 6.9188 5.5570
Sr 3.2787 5.3251 11.0636
Sr 3.2787 1.3531 6.9300
Ba 3.4748 9.2242 8.9081
Ba 3.4748 3.1025 3.2580
Ba 3.3713 9.0646 0.0000
Ba 1.0716 4.5323 7.8502
Ba 3.4748 1.2702 11.3846
Ba 0.9680 4.3727 -1.0579
Ba 0.9680 12.3267 -3.5344
Ba 0.9680 10.4945 4.5922
K 2.2214 0.0000 0.0000

---

5.
9
Lattice="-1.5877 -1.1121 -4.1729 2.3991 -4.5079 -2.2490 -4.2924 -8.6820 1.3887" Properties=species:S:1:pos:R:3 comment="Na3Cd2Pd4 | Alexandria | GGA-PBE | optimized geometry" n_ef_per_ev_fu=2.04 dft_energy_ev_per_atom=-3.12 pbc="T T T"
Cd -1.0847 -4.6411 -3.4280
Cd -2.3963 -9.6608 -1.6052
Na -3.3057 -6.5749 -2.0761
Na 0.0000 0.0000 0.0000
Na -0.1754 -7.7270 -2.9571
Pd -0.5397 -5.4207 -0.8910
Pd -2.9413 -8.8813 -4.1421
Pd -3.6542 -11.4768 -3.1806
Pd 0.1732 -2.8251 -1.8525

---

6.
14
Lattice="-2.9545 1.2171 -4.5053 0.8657 -5.2742 1.3933 -5.7923 0.0568 3.8139" Properties=species:S:1:pos:R:3 comment="Na3HfSi2O8 | Alexandria | GGA-PBE | optimized geometry" raw_formation_energy_mev_per_atom=-2495 n_ef_per_ev_fu=5.18 pbc="T T T"
Hf -2.8962 0.0284 1.9070
Na -4.3755 -3.0715 2.0397
Na 0.0000 0.0000 0.0000
Na -3.5057 -0.9288 -1.3377
O -4.7946 -0.4542 1.2596
O -6.2117 0.1295 -0.9011
O -2.0847 -1.6003 0.9348
O -7.4593 -0.8900 1.2655
O -1.6696 -4.1299 1.6031
O -5.7965 -2.4000 -0.2329
O -3.0866 -3.5461 -0.5577
O -0.4219 -3.1103 -0.5636
Si -6.1057 -0.9033 0.3742
Si -1.7755 -3.0970 0.3277